# PuVPt2

Crystalline PuVPt2 at its relaxed geometry (GGA-PBE, Alexandria).

D(E_F) (states/eV/f.u.): 7.3
Total DFT energy (no corrections) (eV/cell): -37.58
E_form (eV per formula unit): -2.0

Unit cell a=2.851 b=2.851 c=8.342 alpha=90.00 beta=90.00 gamma=90.00
Space group P4/mmm (No. 123)
One atom of each set of equivalent atoms:
Pu 0.000 0.000 0.000 [1 per cell]
V 0.000 0.000 0.500 [1 per cell]
Pt 0.500 0.500 0.288 [2 per cell]

---

# Pm3Zn8Au3

Crystalline Pm3Zn8Au3 at its relaxed geometry (GGA-PBE, Alexandria).

D(E_F) (states/eV/f.u.): 7.5
Total DFT energy (no corrections) (eV/cell): -81.87
E_form (eV per formula unit): -6.7

Unit cell a=15.904 b=4.430 c=9.217 alpha=90.00 beta=123.56 gamma=90.00
Space group C2/m (No. 12)
One atom of each set of equivalent atoms:
Pm 0.000 0.000 0.000 [2 per cell]
Pm 0.203 0.500 0.697 [4 per cell]
Zn 0.002 0.500 0.315 [4 per cell]
Zn 0.136 0.000 0.416 [4 per cell]
Zn 0.138 0.000 0.847 [4 per cell]
Zn 0.164 0.500 0.310 [4 per cell]
Au 0.000 0.000 0.500 [2 per cell]
Au 0.156 0.500 0.018 [4 per cell]

---

# Nd2ZnNi4Sb3

Crystalline Nd2ZnNi4Sb3 at its relaxed geometry (GGA-PBE, Alexandria).

D(E_F) (states/eV/f.u.): 5.5
ΔE_f (raw) (eV per atom): -0.6355
Total DFT energy (no corrections) (eV/cell): -52.66

Unit cell a=4.343 b=4.343 c=10.139 alpha=90.00 beta=90.00 gamma=90.00
Space group P-4m2 (No. 115)
One atom of each set of equivalent atoms:
Nd 0.000 0.500 0.246 [2 per cell]
Zn 0.000 0.000 0.500 [1 per cell]
Ni 0.000 0.000 0.000 [1 per cell]
Ni 0.000 0.500 0.623 [2 per cell]
Ni 0.500 0.500 0.000 [1 per cell]
Sb 0.000 0.500 0.868 [2 per cell]
Sb 0.500 0.500 0.500 [1 per cell]

---

# ZrSc2Tl

Crystalline ZrSc2Tl at its relaxed geometry (GGA-PBE, Alexandria).

D(E_F) (states/eV/f.u.): 3.9
Total DFT energy (no corrections) (eV/cell): -94.59
E_form (eV per formula unit): -0.1

Unit cell a=7.183 b=7.183 c=7.183 alpha=90.00 beta=90.00 gamma=90.00
Space group Fm-3m (No. 225)
One atom of each set of equivalent atoms:
Zr 0.000 0.000 0.000 [4 per cell]
Sc 0.250 0.250 0.250 [8 per cell]
Tl 0.000 0.000 0.500 [4 per cell]

---

# SrVTc2

Crystalline SrVTc2 at its relaxed geometry (GGA-PBE, Alexandria).

D(E_F) (states/eV/f.u.): 4.7
Total DFT energy (no corrections) (eV/cell): -112.49
E_form (eV per formula unit): 3.4

Unit cell a=6.515 b=6.515 c=6.515 alpha=90.00 beta=90.00 gamma=90.00
Space group Fm-3m (No. 225)
One atom of each set of equivalent atoms:
Sr 0.000 0.000 0.000 [4 per cell]
V 0.000 0.000 0.500 [4 per cell]
Tc 0.250 0.250 0.250 [8 per cell]

---

# Li3RhF8

Crystalline Li3RhF8 at its relaxed geometry (GGA-PBE, Alexandria).

ΔE_f (raw) (eV per atom): -2.0642
Total DFT energy (no corrections) (eV/cell): -52.83

Unit cell a=4.964 b=4.964 c=4.964 alpha=90.00 beta=90.00 gamma=90.00
Space group Pm-3m (No. 221)
One atom of each set of equivalent atoms:
Li 0.000 0.000 0.500 [3 per cell]
Rh 0.500 0.500 0.500 [1 per cell]
F 0.264 0.264 0.264 [8 per cell]

---

Q: The highest total DFT energy (no corrections) belongs to which entry?
A: PuVPt2

---

Q: What is the total DFT energy (no corrections) in the second record?
A: -81.87 eV/cell

---

Copy entry 6 word for word.
# Li3RhF8

Crystalline Li3RhF8 at its relaxed geometry (GGA-PBE, Alexandria).

ΔE_f (raw) (eV per atom): -2.0642
Total DFT energy (no corrections) (eV/cell): -52.83

Unit cell a=4.964 b=4.964 c=4.964 alpha=90.00 beta=90.00 gamma=90.00
Space group Pm-3m (No. 221)
One atom of each set of equivalent atoms:
Li 0.000 0.000 0.500 [3 per cell]
Rh 0.500 0.500 0.500 [1 per cell]
F 0.264 0.264 0.264 [8 per cell]

---

Q: What is the formula in the sixth record?
A: Li3RhF8